# 1
# PBE Mg2HgPd8, optimized geometry
data_Mg2HgPd8
_space_group_name_H-M_alt 'C 1 2/m 1'
_space_group_IT_number 12
_cell_length_a 14.258
_cell_length_b 4.076
_cell_length_c 6.332
_cell_angle_alpha 90.00
_cell_angle_beta 106.25
_cell_angle_gamma 90.00
loop_
_space_group_symop_operation_xyz
'x,y,z'
'-x,-y,-z'
'-x,y,-z'
'x,-y,z'
'x+1/2,y+1/2,z'
'-x+1/2,-y+1/2,-z'
'-x+1/2,y+1/2,-z'
'x+1/2,-y+1/2,z'
loop_
_atom_site_label
_atom_site_type_symbol
_atom_site_fract_x
_atom_site_fract_y
_atom_site_fract_z
Mg1 Mg 0.224 0.000 0.152
Hg1 Hg 0.000 0.500 0.500
Pd1 Pd 0.044 0.000 0.223
Pd2 Pd 0.096 0.500 0.962
Pd3 Pd 0.144 0.000 0.696
Pd4 Pd 0.181 0.500 0.411
# magnetization	0.000	Bohr magnetons per cell
# excess energy over the best structure of this formula in the dataset	0.000	eV per formula unit
# formation enthalpy at 0 K	-36	kJ/mol of atoms

# 2
# PBE MgHg2Pd6, optimized geometry
data_MgHg2Pd6
_space_group_name_H-M_alt 'C 1 2/m 1'
_space_group_IT_number 12
_cell_length_a 8.812
_cell_length_b 4.155
_cell_length_c 8.478
_cell_angle_alpha 90.00
_cell_angle_beta 105.34
_cell_angle_gamma 90.00
loop_
_space_group_symop_operation_xyz
'x,y,z'
'-x,-y,-z'
'-x,y,-z'
'x,-y,z'
'x+1/2,y+1/2,z'
'-x+1/2,-y+1/2,-z'
'-x+1/2,y+1/2,-z'
'x+1/2,-y+1/2,z'
loop_
_atom_site_label
_atom_site_type_symbol
_atom_site_fract_x
_atom_site_fract_y
_atom_site_fract_z
Mg1 Mg 0.000 0.000 0.000
Hg1 Hg 0.178 0.500 0.230
Pd1 Pd 0.008 0.000 0.334
Pd2 Pd 0.159 0.500 0.891
Pd3 Pd 0.161 0.500 0.555
# magnetization	0.000	Bohr magnetons per cell
# excess energy over the best structure of this formula in the dataset	0.000	eV per formula unit
# formation enthalpy at 0 K	-29	kJ/mol of atoms

# 3
# PBE MgHgPd5, optimized geometry
data_MgHgPd5
_space_group_name_H-M_alt 'I m m 2'
_space_group_IT_number 44
_cell_length_a 5.129
_cell_length_b 5.276
_cell_length_c 9.352
_cell_angle_alpha 90.00
_cell_angle_beta 90.00
_cell_angle_gamma 90.00
loop_
_space_group_symop_operation_xyz
'x,y,z'
'-x,-y,z'
'-x,y,z'
'x,-y,z'
'x+1/2,y+1/2,z+1/2'
'-x+1/2,-y+1/2,z+1/2'
'-x+1/2,y+1/2,z+1/2'
'x+1/2,-y+1/2,z+1/2'
loop_
_atom_site_label
_atom_site_type_symbol
_atom_site_fract_x
_atom_site_fract_y
_atom_site_fract_z
Mg1 Mg 0.000 0.000 0.000
Hg1 Hg 0.000 0.500 0.699
Pd1 Pd 0.000 0.244 0.445
Pd2 Pd 0.000 0.500 0.976
Pd3 Pd 0.247 0.000 0.724
# magnetization	0.000	Bohr magnetons per cell
# excess energy over the best structure of this formula in the dataset	0.379	eV per formula unit
# formation enthalpy at 0 K	-8	kJ/mol of atoms